Compound: RbLiAg
Source: Alexandria via LeMat-Bulk
Functional: PBE
Structure: optimized geometry

a = 5.4933 Å, b = 4.7130 Å, c = 4.7130 Å
α = 120.00°, β = 90.00°, γ = 90.00°
Sites, in units of the cell vectors:
Li 0.1667 0.0000 0.0000
Rb 0.6667 0.3333 0.6667
Ag 0.1666 0.6667 0.3333

Computed properties:
* SG: P-6m2 (187)
* E above lowest polymorph: 70.3 meV/atom
* formation energy: 0.078 eV/atom
* VASP energy: -5.50 eV/cell